Crystalline TaFe4Cu at its relaxed geometry, computed with PBE.

Computed properties:
D(E_F) (states/eV/cell): 9.366
E_tot (eV per atom): -8.3599

a = 6.667 Å, b = 6.667 Å, c = 6.667 Å
α = 90.00°, β = 90.00°, γ = 90.00°
Space group F-43m (No. 216)
Unique sites:
1 Ta 0.000 0.000 0.000
2 Fe 0.124 0.124 0.624
3 Cu 0.250 0.250 0.250